Entry from Alexandria via LeMat-Bulk: an optimized crystal structure of Sm2In3 (PBE).

Properties
Raw total energy in eV per cell: -149.81
Formation enthalpy at 0 K in meV per atom: -214.5
Polymorph energy (0 for the lowest one) in eV/atom: 0.230
M_tot in Bohr magnetons per cell: 0.00
Crystal system: cubic

Cell lengths 10.6718, 10.6718, 10.6718 Å; angles 90.00, 90.00, 90.00 degrees
Space group I-43d (No. 220)
Asymmetric unit:
1 Sm 0.0391 0.0391 0.0391 x16
2 In 0.0000 0.2500 0.2412 x24